12
Lattice="8.954 -1.963 0.000 8.954 1.963 0.000 -6.445 0.000 9.548" Properties=species:S:1:pos:R:3 comment="NdHoBr3N PBE relaxed" dft_energy_ev_per_atom=-5.569 space_group=C2/m total_magnetization_mub_per_cell=0.002 pbc="T T T"
Nd -1.516 0.000 4.365
Nd 12.980 0.000 5.183
Ho 5.136 0.000 2.040
Ho 6.328 0.000 7.508
Br 2.951 0.000 0.096
Br 2.514 0.000 3.558
Br 3.387 0.000 7.307
Br 8.076 0.000 2.241
Br 8.950 0.000 5.990
Br 8.512 0.000 9.452
N -2.856 0.000 6.286
N 14.320 0.000 3.262

10
Lattice="8.992 -1.921 0.000 8.992 1.921 0.000 -1.888 0.000 8.188" Properties=species:S:1:pos:R:3 comment="Pr2Ho2Br5N PBE relaxed" dft_energy_ev_per_atom=-5.143 space_group=C2/m total_magnetization_mub_per_cell=0.006 pbc="T T T"
Pr -0.542 0.000 2.427
Pr 16.640 0.000 5.761
Ho 5.785 0.000 3.550
Ho 10.312 0.000 4.638
Br 1.486 0.000 6.747
Br 2.475 0.000 2.813
Br 8.992 0.000 0.000
Br 13.622 0.000 5.376
Br 14.611 0.000 1.441
N 8.049 0.000 4.094

12
Lattice="9.032 -1.995 0.000 9.032 1.995 0.000 -6.368 0.000 9.755" Properties=species:S:1:pos:R:3 comment="PrHoBr3N PBE relaxed" dft_energy_ev_per_atom=-5.619 space_group=C2/m total_magnetization_mub_per_cell=0.004 pbc="T T T"
Pr 0.644 0.000 2.781
Pr 11.051 0.000 6.975
Ho 7.419 0.000 0.396
Ho 4.276 0.000 9.359
Br -3.997 0.000 7.383
Br 3.163 0.000 1.074
Br 2.970 0.000 4.763
Br 8.726 0.000 4.993
Br 8.532 0.000 8.682
Br 15.692 0.000 2.372
N 2.312 0.000 8.316
N 9.383 0.000 1.439

12
Lattice="8.953 -1.973 0.000 8.953 1.973 0.000 -6.415 0.000 9.577" Properties=species:S:1:pos:R:3 comment="PrHoBr3N PBE relaxed" dft_energy_ev_per_atom=-5.558 space_group=C2/m total_magnetization_mub_per_cell=0.004 pbc="T T T"
Pr -1.480 0.000 4.378
Pr 12.971 0.000 5.199
Ho 5.142 0.000 2.046
Ho 6.349 0.000 7.531
Br 2.952 0.000 0.093
Br 2.504 0.000 3.552
Br 3.394 0.000 7.347
Br 8.098 0.000 2.230
Br 8.988 0.000 6.025
Br 8.539 0.000 9.485
N -2.835 0.000 6.314
N 14.327 0.000 3.263

5
Lattice="3.543 0.000 0.000 -1.771 3.068 0.000 0.000 0.000 10.092" Properties=species:S:1:pos:R:3 comment="HoScBr2N PBE relaxed" dft_energy_ev_per_atom=-6.216 space_group=P3m1 total_magnetization_mub_per_cell=0.005 pbc="T T T"
Ho 0.000 0.000 0.000
Sc 0.000 2.046 2.445
Br 0.000 0.000 4.256
Br 0.000 2.046 8.117
N 1.771 1.023 1.293

12
Lattice="9.293 -1.932 0.000 9.293 1.932 0.000 -6.878 0.000 9.473" Properties=species:S:1:pos:R:3 comment="TbHoBr3N PBE relaxed" dft_energy_ev_per_atom=-5.593 space_group=C2/m total_magnetization_mub_per_cell=0.005 pbc="T T T"
Tb -1.801 0.000 4.365
Tb 13.510 0.000 5.109
Ho 5.290 0.000 2.037
Ho 6.419 0.000 7.436
Br 3.101 0.000 0.094
Br 2.704 0.000 3.585
Br 3.483 0.000 7.134
Br 8.226 0.000 2.339
Br 9.005 0.000 5.888
Br 8.608 0.000 9.379
N -3.103 0.000 6.202
N 14.811 0.000 3.271

12
Lattice="9.237 -1.932 0.000 9.237 1.932 0.000 -6.762 0.000 9.528" Properties=species:S:1:pos:R:3 comment="TbHoBr3N PBE relaxed" dft_energy_ev_per_atom=-5.605 space_group=C2/m total_magnetization_mub_per_cell=0.005 pbc="T T T"
Tb 0.581 0.000 2.711
Tb 11.131 0.000 6.816
Ho 7.619 0.000 0.377
Ho 4.093 0.000 9.150
Br -4.394 0.000 7.149
Br 3.141 0.000 1.121
Br 2.808 0.000 4.661
Br 8.904 0.000 4.867
Br 8.571 0.000 8.407
Br 16.106 0.000 2.379
N 2.138 0.000 8.072
N 9.574 0.000 1.456

12
Lattice="9.178 -1.927 0.000 9.178 1.927 0.000 -6.739 0.000 9.486" Properties=species:S:1:pos:R:3 comment="YHoBr3N PBE relaxed" dft_energy_ev_per_atom=-5.896 space_group=C2/m total_magnetization_mub_per_cell=0.001 pbc="T T T"
Y -1.743 0.000 4.367
Y 13.360 0.000 5.119
Ho 5.238 0.000 2.038
Ho 6.379 0.000 7.448
Br 3.041 0.000 0.102
Br 2.661 0.000 3.604
Br 3.443 0.000 7.147
Br 8.173 0.000 2.339
Br 8.956 0.000 5.882
Br 8.576 0.000 9.384
N -3.028 0.000 6.214
N 14.644 0.000 3.272

| no. | calculated volume (Å³/f.u.) |
| --- | --- |
| 1 | 167.85 |
| 2 | 282.85 |
| 3 | 175.73 |
| 4 | 169.17 |
| 5 | 109.71 |
| 6 | 170.12 |
| 7 | 170.02 |
| 8 | 167.76 |